# TiTl3Sn

TiTl3Sn after structural relaxation (PBE, the Alexandria database).

a b c (Å): 5.4202 5.4202 5.4202
angles (deg): 90.00 90.00 90.00
Last column: nearest neighbours and their distance in Å.
Element x y z (fractional)
Ti1 0.0000 0.0000 0.0000  6 Tl 2.71
Tl1 0.0000 0.0000 0.5000  2 Ti 2.71
Tl2 0.0000 0.5000 0.0000  2 Ti 2.71
Tl3 0.5000 0.0000 0.0000  2 Ti 2.71
Sn1 0.5000 0.5000 0.5000  12 Tl 3.83

Values from the calculation:
The calculation puts the total energy at -3.319 eV per atom. The energy above the most stable polymorph in this dataset comes out at 0 meV per atom. The value obtained for the density is 8.13 g/cm³. The value obtained for the volume is 159.2 Å³/f.u. The magnetization comes out at 0.35 μB/f.u. The energy relative to the elements is 0.480 eV per atom.